# 1
Entry from Alexandria: a geometry-optimized Ti2InSn structure (PBE).

a b c (Å): 3.565 3.565 6.164
angles (deg): 90.00 90.00 90.00
Element x y z (fractional)
Ti: 0.000 0.000 0.269
Ti: 0.000 0.000 0.731
Sn: 0.500 0.500 0.500
In: 0.500 0.500 0.000

Results
The symmetry is No. 123. As for the formation energy: -0.358 eV/f.u. As for the crystal system: tetragonal.

# 2
Entry from Alexandria: a geometry-optimized Ti4InSn structure (PBE).

a b c (Å): 4.982 8.234 5.643
angles (deg): 90.00 90.00 97.39
Element x y z (fractional)
Ti: 0.201 0.781 0.484
Ti: 0.742 0.937 0.250
Ti: 0.799 0.219 0.984
Ti: 0.676 0.629 0.250
Ti: 0.258 0.063 0.750
Ti: 0.799 0.219 0.516
Ti: 0.201 0.781 0.016
Ti: 0.324 0.371 0.750
In: 0.286 0.125 0.250
In: 0.714 0.875 0.750
Sn: 0.154 0.465 0.250
Sn: 0.846 0.535 0.750

Results
The symmetry is No. 11. Its relative energy among the computed polymorphs is 0.127 eV per atom. As for the formation energy: -0.616 eV/f.u. As for the crystal system: monoclinic.

# 3
Entry from Alexandria: a geometry-optimized Ti7In2Sn2 structure (PBE).

a b c (Å): 6.180 6.572 6.180
angles (deg): 89.97 106.53 90.03
Last column: magnetic moment on the atom in μB.
Element x y z (fractional)
Ti: 0.500 0.302 0.000  0.65
Ti: 0.000 0.000 0.000  1.18
Ti: 0.500 0.698 0.000  0.65
Ti: 0.500 0.721 0.500  0.02
Ti: 0.000 0.302 0.500  0.65
Ti: 0.000 0.698 0.500  0.65
Ti: 0.500 0.279 0.500  0.02
Sn: 0.709 0.000 0.291  -0.03
Sn: 0.291 0.000 0.709  -0.03
In: 0.820 0.500 0.820  -0.03
In: 0.180 0.500 0.180  -0.03

Results
The symmetry is No. 65. As for the formation energy: 3.055 eV/f.u. As for the crystal system: orthorhombic.

Which value of formation energy does entry 1 give? -0.358 eV/f.u.

Look up the formation energy of the second one. -0.616 eV/f.u.

Among the records above, which one has the lowest formation energy? Ti4InSn

What is the formation energy in the first record? -0.358 eV/f.u.